This record from the Alexandria database describes a relaxed TeAs2Os crystal. The functional is GGA-PBE.

Values from the calculation:
The symmetry is Pmmm, No. 47. Its total magnetic moment is 0.00 μB/cell. For the uncorrected formation energy, the calculation gives 792 meV/atom. The total DFT energy (no corrections) is -5.13 eV per atom.

The structure in CIF format:
```
data_TeAs2Os
_chemical_formula_sum 'Te1 As2 Os1'
_space_group_name_H-M_alt 'P 1'
_space_group_IT_number 1
_space_group_name_Hall 'P 1'
_cell_length_a 3.211
_cell_length_b 4.723
_cell_length_c 4.902
_cell_angle_alpha 90.00
_cell_angle_beta 90.00
_cell_angle_gamma 90.00
loop_
_atom_site_label
_atom_site_type_symbol
_atom_site_fract_x
_atom_site_fract_y
_atom_site_fract_z
Te1 Te 0.000 0.000 0.000
As1 As 0.000 0.500 0.500
As2 As 0.500 0.000 0.500
Os1 Os 0.500 0.500 0.000
```

=====

This record from the Alexandria database describes a relaxed TeAsOs3 crystal. The functional is GGA-PBE.

Values from the calculation:
The symmetry is Pm-3m, No. 221. Its total magnetic moment is 0.00 μB/cell. For the uncorrected formation energy, the calculation gives 2504 meV/atom. The total DFT energy (no corrections) is -5.79 eV per atom. For the energy above the lowest structure with this stoichiometry, the calculation gives 873 meV/atom.

The structure in CIF format:
```
data_TeAsOs3
_chemical_formula_sum 'Te1 As1 Os3'
_space_group_name_H-M_alt 'P 1'
_space_group_IT_number 1
_space_group_name_Hall 'P 1'
_cell_length_a 4.813
_cell_length_b 4.813
_cell_length_c 4.813
_cell_angle_alpha 90.00
_cell_angle_beta 90.00
_cell_angle_gamma 90.00
loop_
_atom_site_label
_atom_site_type_symbol
_atom_site_fract_x
_atom_site_fract_y
_atom_site_fract_z
Te1 Te 0.000 0.000 0.000
As1 As 0.500 0.500 0.500
Os1 Os 0.000 0.000 0.500
Os2 Os 0.000 0.500 0.000
Os3 Os 0.500 0.000 0.000
```